10
Lattice="4.073 -5.626 0.000 4.073 5.626 0.000 0.000 0.000 7.076" Properties=species:S:1:pos:R:3 comment="Tb2DyYSc (PBE-GGA, relaxed)" final_energy_ry_per_atom=-0.3660 magmom_total_mub_per_fu=0.00 spacegroup="Cmcm, No. 63" crystal_system=orthorhombic pbc="T T T"
Tb 1.614 0.000 0.000
Tb 1.614 0.000 3.538
Tb 6.532 0.000 0.000
Tb 6.532 0.000 3.538
Dy 4.073 3.104 5.307
Dy 4.073 -3.104 1.769
Y 4.073 2.935 1.769
Y 4.073 -2.935 5.307
Sc 4.073 0.128 5.307
Sc 4.073 -0.128 1.769

8
Lattice="4.896 0.000 0.000 0.000 4.896 0.000 0.000 0.000 9.323" Properties=species:S:1:pos:R:3 comment="TbDy2YSc4 (PBE-GGA, relaxed)" final_energy_ry_per_atom=-0.4152 magmom_total_mub_per_fu=0.00 spacegroup="P4/mmm, No. 123" crystal_system=tetragonal pbc="T T T"
Tb 0.000 0.000 0.000
Dy 0.000 0.000 4.661
Dy 2.448 2.448 0.000
Y 2.448 2.448 4.661
Sc 0.000 2.448 2.322
Sc 0.000 2.448 7.001
Sc 2.448 0.000 2.322
Sc 2.448 0.000 7.001

12
Lattice="6.958 0.000 0.000 0.000 5.542 0.000 0.000 0.000 9.563" Properties=species:S:1:pos:R:3 comment="Tb2DyY2Sc (PBE-GGA, relaxed)" final_energy_ry_per_atom=-0.4005 magmom_total_mub_per_fu=0.00 spacegroup="Pmma, No. 51" crystal_system=orthorhombic pbc="T T T"
Tb 1.739 0.000 1.460
Tb 1.739 2.771 6.514
Tb 5.218 0.000 8.103
Tb 5.218 2.771 3.049
Dy 0.000 2.771 0.000
Dy 3.479 2.771 0.000
Y 0.000 0.000 4.781
Y 1.739 2.771 3.268
Y 3.479 0.000 4.781
Y 5.218 2.771 6.295
Sc 1.739 0.000 7.877
Sc 5.218 0.000 1.685

20
Lattice="4.524 -7.348 0.000 4.524 7.348 0.000 -1.170 0.000 9.332" Properties=species:S:1:pos:R:3 comment="TbDyY6Sc2 (PBE-GGA, relaxed)" final_energy_ry_per_atom=-0.4367 magmom_total_mub_per_fu=0.00 spacegroup="C2/c, No. 15" crystal_system=monoclinic pbc="T T T"
Tb 3.647 6.920 6.999
Tb 4.232 -6.920 2.333
Dy 4.232 1.352 2.333
Dy 3.647 -1.352 6.999
Y 1.800 4.012 6.346
Y 3.893 4.737 0.508
Y 4.571 4.737 4.158
Y 2.617 1.541 8.263
Y 5.494 4.012 7.652
Y 4.677 1.541 5.735
Y 3.201 -1.541 3.597
Y 2.384 -4.012 1.680
Y 5.262 -1.541 1.069
Y 3.308 -4.737 5.174
Y 3.986 -4.737 8.824
Y 6.079 -4.012 2.986
Sc 1.602 0.758 5.136
Sc 2.187 -0.758 0.470
Sc 5.692 0.758 8.862
Sc 6.277 -0.758 4.196